Compound: Sc2FeIr
Source: Alexandria via LeMat-Bulk
Functional: PBE
Structure: relaxed

Properties
**DOS(E_F)**: 3.7 states/eV/cell
**VASP energy**: -8.031 eV/atom
**Formation energy**: -0.53 eV per atom

Cell: 3.178 3.178 6.403 Å, 90.00 90.00 90.00°
Space group P4/mmm (No. 123)
Inequivalent atoms, fractional coordinates:
Sc (0.000, 0.000, 0.243)
Fe (0.500, 0.500, 0.000)
Ir (0.500, 0.500, 0.500)


Compound: Sc2FeIr2
Source: Alexandria via LeMat-Bulk
Functional: PBE
Structure: relaxed

Properties
**DOS(E_F)**: 9.9 states/eV/cell
**VASP energy**: -7.654 eV/atom
**Formation energy**: 0.12 eV per atom

Cell: 3.522 3.522 14.972 Å, 90.00 90.00 90.00°
Space group I4/mmm (No. 139)
Inequivalent atoms, fractional coordinates:
Sc (0.000, 0.000, 0.099)
Fe (0.000, 0.000, 0.500)
Ir (0.000, 0.500, 0.250)


Compound: ScFeIr
Source: Alexandria via LeMat-Bulk
Functional: PBE
Structure: relaxed

Properties
**DOS(E_F)**: 11.0 states/eV/cell
**VASP energy**: -8.271 eV/atom
**Formation energy**: -0.39 eV per atom

Cell: 3.711 3.711 14.462 Å, 90.00 90.00 90.00°
Space group I4/mmm (No. 139)
Inequivalent atoms, fractional coordinates:
Sc (0.000, 0.000, 0.176)
Fe (0.000, 0.500, 0.000)
Ir (0.000, 0.000, 0.372)


Compound: ScFeSiIr
Source: Alexandria via LeMat-Bulk
Functional: PBE
Structure: relaxed

Properties
**DOS(E_F)**: 1.2 states/eV/cell
**VASP energy**: -7.912 eV/atom
**E_form (uncorrected)**: -248 kJ/mol of formula units

Cell: 6.024 6.024 6.024 Å, 90.00 90.00 90.00°
Space group F-43m (No. 216)
Inequivalent atoms, fractional coordinates:
Sc (0.000, 0.000, 0.000)
Fe (0.250, 0.250, 0.750)
Si (0.000, 0.000, 0.500)
Ir (0.250, 0.250, 0.250)


Compound: ScZnFeIr
Source: Alexandria via LeMat-Bulk
Functional: PBE
Structure: relaxed

Properties
**DOS(E_F)**: 17.2 states/eV/cell
**VASP energy**: -6.540 eV/atom
**Formation energy**: -0.31 eV per atom

Cell: 6.213 6.213 6.213 Å, 90.00 90.00 90.00°
Space group F-43m (No. 216)
Inequivalent atoms, fractional coordinates:
Sc (0.000, 0.000, 0.000)
Zn (0.250, 0.250, 0.750)
Fe (0.250, 0.250, 0.250)
Ir (0.000, 0.000, 0.500)


Compound: Fe2IrSe
Source: Alexandria via LeMat-Bulk
Functional: PBE
Structure: relaxed

Properties
**DOS(E_F)**: 5.3 states/eV/cell
**VASP energy**: -6.832 eV/atom
**E_form (uncorrected)**: 188 kJ/mol of formula units

Cell: 3.765 3.765 3.633 Å, 90.00 90.00 90.00°
Space group P4/mmm (No. 123)
Inequivalent atoms, fractional coordinates:
Fe (0.000, 0.500, 0.000)
Ir (0.000, 0.000, 0.500)
Se (0.500, 0.500, 0.500)


Compound: Fe2IrSe
Source: Alexandria via LeMat-Bulk
Functional: PBE
Structure: relaxed

Properties
**DOS(E_F)**: 3.3 states/eV/cell
**VASP energy**: -7.031 eV/atom
**E_form (uncorrected)**: 111 kJ/mol of formula units

Cell: 4.440 4.440 2.780 Å, 90.00 90.00 90.00°
Space group P4/mmm (No. 123)
Inequivalent atoms, fractional coordinates:
Fe (0.000, 0.500, 0.000)
Ir (0.000, 0.000, 0.500)
Se (0.500, 0.500, 0.500)


Compound: Fe2IrSe
Source: Alexandria via LeMat-Bulk
Functional: PBE
Structure: relaxed

Properties
**DOS(E_F)**: 6.5 states/eV/cell
**VASP energy**: -7.057 eV/atom
**E_form (uncorrected)**: 101 kJ/mol of formula units

Cell: 2.986 4.370 8.521 Å, 90.00 90.00 90.00°
Space group Immm (No. 71)
Inequivalent atoms, fractional coordinates:
Fe (0.000, 0.000, 0.234)
Ir (0.000, 0.500, 0.000)
Se (0.000, 0.500, 0.500)